Entry 1:
Zr2AlCr, relaxed, DFT GGA-PBE; SG = I-4m2
1.0
5.3848 -0.0316 0.0000
2.3228 4.8581 0.0000
-3.8538 -2.4133 2.8847
Cr Al Zr
1 1 2
direct
0.7500 0.2500 0.5000
0.5000 0.5000 0.0000
0.0000 0.0000 0.0000
0.2500 0.7500 0.5000

---

Entry 2:
ZrAl2Cr, relaxed, DFT GGA-PBE; SG = I-42d
1.0
-1.1554 3.6063 0.6102
-2.1200 -0.1388 -3.1936
-9.1524 -1.5420 3.8391
Cr Al Zr
2 4 2
direct
0.5000 0.5000 0.0000
0.2500 0.7500 0.5000
0.6058 0.1250 0.2500
0.1442 0.6250 0.2500
0.3750 0.3942 0.7500
0.8750 0.8558 0.7500
0.0000 0.0000 0.0000
0.7500 0.2500 0.5000

---

Entry 3:
ZrAlCr, relaxed, DFT GGA-PBE; SG = Fddd
1.0
-0.3875 0.2567 5.2213
3.8928 -1.7243 3.0050
3.4288 8.0926 2.4879
Al Cr Zr
4 4 4
direct
0.1641 0.5000 0.6718
0.3359 0.5000 0.3282
0.5859 0.0000 0.8282
0.4141 0.0000 0.1718
0.6240 0.5000 0.7520
0.8760 0.5000 0.2480
0.1260 0.0000 0.7480
0.8740 0.0000 0.2520
0.9185 0.1630 0.5000
0.5815 0.8370 0.5000
0.8315 0.3370 0.0000
0.1685 0.6630 0.0000

---

Entry 4:
ZrAl2Cr2, relaxed, DFT GGA-PBE; energy above the most stable polymorph in this dataset = 0.066 eV/f.u.; SG = I4/mmm
1.0
-1.1756 -3.1960 -1.2526
3.3124 -1.4037 0.4726
-0.4157 -3.9313 5.1653
Cr Al Zr
2 2 1
direct
0.7500 0.2500 0.5000
0.2500 0.7500 0.5000
0.3954 0.3954 0.2092
0.6046 0.6046 0.7908
0.0000 0.0000 0.0000

---

Entry 5:
Zr2AlCr, relaxed, DFT GGA-PBE; SG = P4mm
1.0
-2.5894 -1.7964 -0.4762
1.8409 -2.5913 -0.2353
-0.5926 -1.0853 7.3160
Cr Al Zr
1 1 2
direct
0.5000 0.5000 0.7302
0.0000 0.0000 0.5383
0.0000 0.0000 0.9638
0.5000 0.5000 0.2676

---

Entry 6:
ZrAl2Cr, relaxed, DFT GGA-PBE; SG = Fm-3m
1.0
0.0000 3.2180 3.2180
3.2180 0.0000 3.2180
3.2180 3.2180 0.0000
Cr Al Zr
1 2 1
direct
0.0000 0.0000 0.0000
0.2500 0.2500 0.2500
0.7500 0.7500 0.7500
0.5000 0.5000 0.5000

---

Entry 7:
ZrAlCr, relaxed, DFT GGA-PBE; SG = F-43m
1.0
4.4632 0.0000 0.0000
2.2316 3.8652 0.0000
2.2316 1.2884 3.6442
Cr Al Zr
1 1 1
direct
0.7500 0.7500 0.7500
0.5000 0.5000 0.5000
0.0000 0.0000 0.0000

---

Entry 8:
Zr2AlCr, relaxed, DFT GGA-PBE; SG = I4/mmm
1.0
-1.7307 -2.9850 3.7837
3.2070 -3.9718 0.4030
0.9352 5.0337 -0.0990
Cr Al Zr
1 1 2
direct
0.2500 0.7500 0.5000
0.7500 0.2500 0.5000
0.9999 0.9999 0.0000
0.5001 0.5001 0.0000

---

Entry 9:
ZrAlCr, relaxed, DFT GGA-PBE; SG = P3m1
1.0
-2.7160 -0.4873 -1.2281
2.3841 -1.6101 -0.9197
-1.3160 -4.6694 4.7632
Cr Al Zr
1 1 1
direct
0.6667 0.3333 0.3232
0.0000 0.0000 0.0215
0.3333 0.6667 0.6553

---

Entry 10:
Zr2AlCr, relaxed, DFT GGA-PBE; SG = Cmm2
1.0
2.9140 -0.0026 0.0000
-0.8107 2.7990 0.0000
0.0000 0.0000 8.9764
Cr Al Zr
1 1 2
direct
0.5000 0.5000 0.7326
0.0000 0.0000 0.5335
0.0000 0.0000 0.9582
0.5000 0.5000 0.2757

---

Density for the records above, in order: 5.7, 4.6, 5.5, 5.3, 5.8, 4.9, 4.5, 5.7, 5.3, 5.9 g/cm3
Energy of formation for the records above, in order: -49, 342, 148, -4, -58, -79, 397, -69, 229, 140 meV per atom